1.
PBE-GGA Si2SnHg2, relaxed; symmetry = I4/mmm (139); energy above the lowest structure with this stoichiometry = 0.000 eV/atom; DOS(E_F) = 2.0 states/eV per cell
1.0
-1.740 1.740 9.307
1.740 -1.740 9.307
1.740 1.740 -9.307
Si Sn Hg
2 1 2
Direct
0.250 0.750 0.500
0.750 0.250 0.500
0.000 0.000 0.000
0.386 0.386 0.000
0.614 0.614 0.000

=====

2.
PBE-GGA Pm4DyIn3, relaxed; symmetry = R-3m (166); final energy = -4.31 eV per atom; DOS(E_F) = 11.4 states/eV per cell
1.0
2.738 1.581 9.148
-2.738 1.581 9.148
0.000 -3.162 9.148
Pm Dy In
4 1 3
Direct
0.117 0.117 0.117
0.369 0.369 0.369
0.631 0.631 0.631
0.883 0.883 0.883
0.500 0.500 0.500
0.000 0.000 0.000
0.240 0.240 0.240
0.760 0.760 0.760

=====

3.
PBE-GGA In4AgSnSe8, relaxed; symmetry = R3m (160); final energy = -3.70 eV per atom; DOS(E_F) = 2.7 states/eV per cell
1.0
4.112 2.374 6.642
-4.112 2.374 6.642
0.000 -4.748 6.642
In Ag Sn Se
4 1 1 8
Direct
0.000 0.000 0.000
0.140 0.618 0.618
0.618 0.140 0.618
0.618 0.618 0.140
0.249 0.249 0.249
0.618 0.618 0.618
0.379 0.379 0.855
0.379 0.855 0.379
0.382 0.382 0.382
0.401 0.866 0.866
0.855 0.379 0.379
0.863 0.863 0.863
0.866 0.401 0.866
0.866 0.866 0.401

=====

What did the first record say?
PBE-GGA Si2SnHg2, relaxed; symmetry = I4/mmm (139); energy above the lowest structure with this stoichiometry = 0.000 eV/atom; DOS(E_F) = 2.0 states/eV per cell
1.0
-1.740 1.740 9.307
1.740 -1.740 9.307
1.740 1.740 -9.307
Si Sn Hg
2 1 2
Direct
0.250 0.750 0.500
0.750 0.250 0.500
0.000 0.000 0.000
0.386 0.386 0.000
0.614 0.614 0.000

=====

What is the formula in the third record?
In4AgSnSe8

=====

Which of these has the highest DOS(E_F)?
Pm4DyIn3

=====

Look up the DOS(E_F) of the first one.
2.0 states/eV per cell